The following is a DFT calculation (PBE-GGA) of a relaxed structure of La2GdTe.

Cell lengths 4.064, 4.064, 30.382 Å; angles 90.00, 90.00, 120.00 degrees
Atoms (fractional coordinates):
La: 0.000 0.000 0.239
La: 0.000 0.000 0.761
La: 0.333 0.667 0.427
La: 0.333 0.667 0.906
La: 0.667 0.333 0.094
La: 0.667 0.333 0.573
Gd: 0.000 0.000 0.000
Gd: 0.333 0.667 0.667
Gd: 0.667 0.333 0.333
Te: 0.000 0.000 0.500
Te: 0.333 0.667 0.167
Te: 0.667 0.333 0.833

The calculation puts the calculated total energy at -88.42 eV for the cell shown. The value obtained for the energy above the lowest structure with this stoichiometry is 32 meV/atom. For the calculated volume, the calculation gives 36.22 Å³/atom. The raw formation energy comes out at -0.599 eV/atom.